--- 1 ---
A relaxed SrHo2Lu crystal, computed with PBE. Values from VASP.

Results
Density of states at the Fermi level = 1.28 states/eV per atom
Space group = No. 123

```
&SYSTEM
  ibrav = 0, nat = 4, ntyp = 3
/
ATOMIC_SPECIES
Sr 87.62 Sr.upf
Ho 164.93 Ho.upf
Lu 174.97 Lu.upf
CELL_PARAMETERS angstrom
3.971 0.000 0.000
0.000 3.971 0.000
0.000 0.000 9.157
ATOMIC_POSITIONS crystal
Sr 0.000 0.000 0.000
Ho 0.500 0.500 0.300
Ho 0.500 0.500 0.700
Lu 0.000 0.000 0.500
```

--- 2 ---
A relaxed SrHo2Lu crystal, computed with PBE. Values from VASP.

Results
Density of states at the Fermi level = 1.44 states/eV per atom
Space group = No. 166

```
&SYSTEM
  ibrav = 0, nat = 4, ntyp = 3
/
ATOMIC_SPECIES
Sr 87.62 Sr.upf
Ho 164.93 Ho.upf
Lu 174.97 Lu.upf
CELL_PARAMETERS angstrom
1.785 1.030 12.657
-1.785 1.030 12.657
0.000 -2.061 12.657
ATOMIC_POSITIONS crystal
Sr 0.000 0.000 0.000
Ho 0.094 0.094 0.094
Ho 0.906 0.906 0.906
Lu 0.500 0.500 0.500
```

Most stable one: 1, least stable one: 2.